Here is crystalline SrZn2Si at its relaxed geometry from Alexandria. Energies are from PBE.

* formation energy without anion corrections: 0.0074 eV per atom
* total moment: 0.000 μB/atom
* space group: Immm

```
SrZn2Si
1.0
-2.127 2.694 3.851
2.127 -2.694 3.851
2.127 2.694 -3.851
Sr Zn Si
1 2 1
direct
0.000 0.000 0.000 Sr
0.298 0.798 0.500 Zn
0.702 0.202 0.500 Zn
0.500 0.500 0.000 Si
```